1.
CaCeZn2: relaxed, GGA-PBEsol.

Results
The calculation puts the formation energy at -158 meV per atom. As for the spin magnetization: 0.164 μB per atom.

POSCAR file:
```
CaCeZn2
1.0
-2.431 1.647 4.120
-4.863 -1.197 0.716
-1.292 -3.260 3.647
Ca Zn Ce
1 2 1
Cartesian
-4.293 -1.405 4.242
-2.147 -0.703 2.121
-6.440 -2.108 6.363
0.000 0.000 0.000
```

=====

2.
Ca2Cl: relaxed, GGA-PBEsol.

Results
The formation energy (no corrections) comes out at -589.0 meV per atom. As for the polymorph energy (0 for the lowest one): 476.8 meV/atom. As for the spin magnetization: 0.338 μB per atom.

POSCAR file:
```
Ca2Cl
1.0
-2.227 -4.230 1.444
2.750 -4.024 1.087
0.403 -1.545 4.732
Ca Cl
2 1
Cartesian
0.232 -2.450 1.816
0.695 -7.349 5.447
0.000 0.000 0.000
```

=====

Values for DOS(E_F), states/eV/cell, ordered as above
6.385, 2.823